Record 1
# SrThCd

A geometry-optimized SrThCd structure (PBE, the Alexandria database).

Computed properties:
Spin magnetization   0.00 μB/cell
V   102 Å³/f.u.
Space-group type   No. 38
Density of states at the Fermi level   1.41 states/eV/atom
ΔE_f   0.155 eV/atom
VASP energy   -3.18 eV per atom

Unit cell a=3.6706 b=3.6727 c=17.4127 alpha=90.00 beta=90.00 gamma=119.98
Atoms (fractional coordinates):
Th  0.6099  0.2198  0.3483
Sr  0.2789  0.5578  0.8415
Cd  0.2766  0.5532  0.5000
Sr  0.2789  0.5578  0.1585
Th  0.6099  0.2198  0.6517
Cd  0.6124  0.2248  0.0000

---

Record 2
# SrThZnCd

A geometry-optimized SrThZnCd structure (PBE, the Alexandria database).

Computed properties:
Spin magnetization   0.00 μB/cell
V   114 Å³/f.u.
Space-group type   No. 216
Density of states at the Fermi level   1.15 states/eV/atom
ΔE_f   -0.050 eV/atom
VASP energy   -2.87 eV per atom

Unit cell a=5.4491 b=5.4491 c=5.4491 alpha=60.00 beta=60.00 gamma=60.00
Atoms (fractional coordinates):
Th  0.5000  0.5000  0.5000
Zn  0.2500  0.2500  0.2500
Cd  0.7500  0.7500  0.7500
Sr  0.0000  0.0000  0.0000

---

Record 3
# SrTi2Cd2

A geometry-optimized SrTi2Cd2 structure (PBE, the Alexandria database).

Computed properties:
Energy above the lowest structure with this stoichiometry   0.0 meV per atom
Spin magnetization   4.67 μB/cell
V   116 Å³/f.u.
Space-group type   No. 127
Density of states at the Fermi level   0.69 states/eV/atom
ΔE_f   0.136 eV/atom
VASP energy   -3.72 eV per atom

Unit cell a=8.6366 b=8.6366 c=3.1007 alpha=90.00 beta=90.00 gamma=90.00
Each line ends with the local moment (μB).
Atoms (fractional coordinates):
Cd  0.1836  0.6836  0.5000  0.00
Ti  0.6060  0.1060  0.0000  0.92
Ti  0.8940  0.6060  0.0000  0.95
Cd  0.6836  0.8164  0.5000  0.01
Sr  0.0000  0.0000  0.0000  0.01
Ti  0.3940  0.8940  0.0000  0.92
Sr  0.5000  0.5000  0.0000  0.01
Cd  0.8164  0.3164  0.5000  0.00
Cd  0.3164  0.1836  0.5000  0.01
Ti  0.1060  0.3940  0.0000  0.95

---

Record 4
# SrTi3Cd

A geometry-optimized SrTi3Cd structure (PBE, the Alexandria database).

Computed properties:
Energy above the lowest structure with this stoichiometry   741.8 meV per atom
Spin magnetization   1.93 μB/cell
V   112 Å³/f.u.
Space-group type   No. 221
Density of states at the Fermi level   1.03 states/eV/atom
ΔE_f   1.775 eV/atom
VASP energy   -3.48 eV per atom

Unit cell a=4.8231 b=4.8231 c=4.8231 alpha=90.00 beta=90.00 gamma=90.00
Each line ends with the local moment (μB).
Atoms (fractional coordinates):
Ti  0.0000  0.5000  0.0000  0.54
Ti  0.0000  0.0000  0.5000  0.37
Cd  0.5000  0.5000  0.5000  0.00
Sr  0.0000  0.0000  0.0000  0.06
Ti  0.5000  0.0000  0.0000  0.59

---

Record 5
# SrTi3Cd

A geometry-optimized SrTi3Cd structure (PBE, the Alexandria database).

Computed properties:
Energy above the lowest structure with this stoichiometry   0.0 meV per atom
Spin magnetization   5.94 μB/cell
V   143 Å³/f.u.
Space-group type   No. 221
Density of states at the Fermi level   1.77 states/eV/atom
ΔE_f   1.034 eV/atom
VASP energy   -4.22 eV per atom

Unit cell a=5.2257 b=5.2257 c=5.2257 alpha=90.00 beta=90.00 gamma=90.00
Each line ends with the local moment (μB).
Atoms (fractional coordinates):
Sr  0.5000  0.5000  0.5000  0.11
Ti  0.0000  0.0000  0.5000  1.29
Cd  0.0000  0.0000  0.0000  0.07
Ti  0.5000  0.0000  0.0000  1.46
Ti  0.0000  0.5000  0.0000  1.18

---

Record 6
# Sr2TiCd2

A geometry-optimized Sr2TiCd2 structure (PBE, the Alexandria database).

Computed properties:
Energy above the lowest structure with this stoichiometry   0.0 meV per atom
Spin magnetization   4.95 μB/cell
V   159 Å³/f.u.
Space-group type   No. 127
Density of states at the Fermi level   1.02 states/eV/atom
ΔE_f   0.107 eV/atom
VASP energy   -2.51 eV per atom

Unit cell a=7.8546 b=7.8546 c=5.1691 alpha=90.00 beta=90.00 gamma=90.00
Each line ends with the local moment (μB).
Atoms (fractional coordinates):
Ti  0.5000  0.5000  0.0000  1.66
Sr  0.1761  0.6761  0.5000  0.01
Cd  0.1353  0.3647  0.0000  0.01
Ti  0.0000  0.0000  0.0000  1.66
Sr  0.3239  0.1761  0.5000  0.01
Cd  0.6353  0.1353  0.0000  0.01
Sr  0.6761  0.8239  0.5000  0.01
Cd  0.8647  0.6353  0.0000  0.01
Sr  0.8239  0.3239  0.5000  0.01
Cd  0.3647  0.8647  0.0000  0.01

---

Record 7
# Sr2TiCd2

A geometry-optimized Sr2TiCd2 structure (PBE, the Alexandria database).

Computed properties:
Energy above the lowest structure with this stoichiometry   175.8 meV per atom
Spin magnetization   2.15 μB/cell
V   175 Å³/f.u.
Space-group type   No. 139
Density of states at the Fermi level   1.53 states/eV/atom
ΔE_f   0.282 eV/atom
VASP energy   -2.34 eV per atom

Unit cell a=6.4186 b=6.4186 c=6.2196 alpha=58.94 beta=58.94 gamma=90.00
Each line ends with the local moment (μB).
Atoms (fractional coordinates):
Ti  0.0000  0.0000  0.0000  1.63
Cd  0.6610  0.6610  0.6781  -0.01
Sr  0.7500  0.2500  0.5000  0.01
Sr  0.2500  0.7500  0.5000  0.01
Cd  0.3390  0.3390  0.3219  -0.01

---

Record 8
# Sr2TlCd3

A geometry-optimized Sr2TlCd3 structure (PBE, the Alexandria database).

Computed properties:
Spin magnetization   0.00 μB/cell
V   181 Å³/f.u.
Space-group type   No. 69
Density of states at the Fermi level   0.62 states/eV/atom
ΔE_f   -0.342 eV/atom
VASP energy   -1.75 eV per atom

Unit cell a=6.4817 b=6.4817 c=10.3280 alpha=113.43 beta=113.43 gamma=74.52
Atoms (fractional coordinates):
Sr  0.2500  0.7500  0.5000
Cd  0.8357  0.8357  0.1649
Cd  0.1643  0.1643  0.8351
Tl  0.3335  0.3335  0.6670
Cd  0.6708  0.6708  0.8351
Cd  0.8351  0.8351  0.6703
Sr  0.2503  0.7497  0.0000
Tl  0.6665  0.6665  0.3330
Cd  0.1649  0.1649  0.3297
Sr  0.7497  0.2503  0.0000
Sr  0.7500  0.2500  0.5000
Cd  0.3292  0.3292  0.1649

---

Record 9
# Sr3Tl2Cd4

A geometry-optimized Sr3Tl2Cd4 structure (PBE, the Alexandria database).

Computed properties:
Spin magnetization   0.00 μB/cell
V   273 Å³/f.u.
Space-group type   No. 12
Density of states at the Fermi level   0.44 states/eV/atom
ΔE_f   -0.350 eV/atom
VASP energy   -1.84 eV per atom

Unit cell a=5.1584 b=6.4883 c=9.7812 alpha=112.59 beta=90.00 gamma=113.42
Atoms (fractional coordinates):
Sr  0.6629  0.3259  0.6698
Cd  0.0644  0.1288  0.4004
Tl  0.6168  0.2335  0.2809
Sr  0.3371  0.6741  0.3302
Cd  0.2801  0.5603  0.9511
Sr  0.0000  0.0000  0.0000
Cd  0.7199  0.4397  0.0489
Cd  0.9356  0.8712  0.5996
Tl  0.3832  0.7665  0.7191

---

Record 10
# SrTl3Cd3

A geometry-optimized SrTl3Cd3 structure (PBE, the Alexandria database).

Computed properties:
Energy above the lowest structure with this stoichiometry   489.9 meV per atom
Spin magnetization   0.00 μB/cell
V   350 Å³/f.u.
Space-group type   No. 225
Density of states at the Fermi level   0.55 states/eV/atom
ΔE_f   0.395 eV/atom
VASP energy   -1.25 eV per atom

Unit cell a=9.9662 b=9.9662 c=9.9662 alpha=60.00 beta=60.00 gamma=60.00
Atoms (fractional coordinates):
Tl  0.3424  0.6576  0.6576
Cd  0.8520  0.1480  0.8520
Tl  0.6576  0.3424  0.6576
Cd  0.1480  0.8520  0.1480
Tl  0.6576  0.6576  0.3424
Tl  0.3424  0.3424  0.6576
Cd  0.1480  0.1480  0.8520
Cd  0.8520  0.8520  0.1480
Tl  0.6576  0.3424  0.3424
Sr  0.2500  0.2500  0.2500
Cd  0.8520  0.1480  0.1480
Cd  0.1480  0.8520  0.8520
Tl  0.3424  0.6576  0.3424
Sr  0.7500  0.7500  0.7500

---

Record 11
# SrTl7Cd5

A geometry-optimized SrTl7Cd5 structure (PBE, the Alexandria database).

Computed properties:
Spin magnetization   0.00 μB/cell
V   373 Å³/f.u.
Space-group type   No. 44
Density of states at the Fermi level   0.37 states/eV/atom
ΔE_f   -0.060 eV/atom
VASP energy   -1.82 eV per atom

Unit cell a=5.9546 b=8.4566 c=8.4566 alpha=80.75 beta=69.39 gamma=69.39
Atoms (fractional coordinates):
Cd  0.4982  0.5087  0.9951
Tl  0.9993  0.3519  0.6496
Tl  0.5010  0.1955  0.8026
Cd  0.7176  0.7824  0.7824
Cd  0.9980  0.9951  0.5087
Tl  0.5010  0.8026  0.1955
Cd  0.4982  0.9951  0.5087
Tl  0.6439  0.3561  0.3561
Tl  0.3545  0.6455  0.6455
Cd  0.9980  0.5087  0.9951
Tl  0.9993  0.6496  0.3519
Tl  0.2841  0.2159  0.2159
Sr  0.0071  0.9929  0.9929

---

Record 12
# Sr4TlCd2

A geometry-optimized Sr4TlCd2 structure (PBE, the Alexandria database).

Computed properties:
Energy above the lowest structure with this stoichiometry   0.0 meV per atom
Spin magnetization   0.00 μB/cell
V   268 Å³/f.u.
Space-group type   No. 166
Density of states at the Fermi level   0.62 states/eV/atom
ΔE_f   -0.290 eV/atom
VASP energy   -1.85 eV per atom

Unit cell a=5.7386 b=5.7386 c=9.9663 alpha=73.27 beta=73.27 gamma=60.00
Atoms (fractional coordinates):
Sr  0.6246  0.6246  0.1261
Cd  0.7487  0.7487  0.7539
Sr  0.8754  0.8754  0.3739
Cd  0.2513  0.2513  0.2461
Sr  0.1246  0.1246  0.6261
Sr  0.3754  0.3754  0.8739
Tl  0.0000  0.0000  0.0000

---

Record 13
# Sr3TlCd8

A geometry-optimized Sr3TlCd8 structure (PBE, the Alexandria database).

Computed properties:
Energy above the lowest structure with this stoichiometry   0.0 meV per atom
Spin magnetization   0.00 μB/cell
V   331 Å³/f.u.
Space-group type   No. 156
Density of states at the Fermi level   0.64 states/eV/atom
ΔE_f   -0.261 eV/atom
VASP energy   -1.49 eV per atom

Unit cell a=6.2167 b=6.2167 c=9.8956 alpha=90.00 beta=90.00 gamma=120.00
Atoms (fractional coordinates):
Sr  0.0000  0.0000  0.9239
Cd  0.1626  0.8374  0.2493
Cd  0.9954  0.4977  0.7526
Cd  0.3333  0.6667  0.4998
Cd  0.5023  0.0046  0.7526
Cd  0.3333  0.6667  0.9994
Cd  0.5023  0.4977  0.7526
Sr  0.6667  0.3333  0.4513
Sr  0.6667  0.3333  0.0648
Cd  0.1626  0.3252  0.2493
Tl  0.0000  0.0000  0.5552
Cd  0.6748  0.8374  0.2493

---

Record 14
# SrTl6Cd

A geometry-optimized SrTl6Cd structure (PBE, the Alexandria database).

Computed properties:
Energy above the lowest structure with this stoichiometry   36.0 meV per atom
Spin magnetization   0.00 μB/cell
V   252 Å³/f.u.
Space-group type   No. 166
Density of states at the Fermi level   0.67 states/eV/atom
ΔE_f   -0.074 eV/atom
VASP energy   -2.17 eV per atom

Unit cell a=6.9156 b=6.9156 c=6.9156 alpha=109.73 beta=109.73 gamma=109.73
Atoms (fractional coordinates):
Tl  0.2700  0.7456  0.7456
Tl  0.2544  0.7300  0.2544
Tl  0.7300  0.2544  0.2544
Tl  0.7456  0.7456  0.2700
Sr  0.0000  0.0000  0.0000
Tl  0.2544  0.2544  0.7300
Tl  0.7456  0.2700  0.7456
Cd  0.5000  0.5000  0.5000

---

Record 15
# SrTl2Cd2

A geometry-optimized SrTl2Cd2 structure (PBE, the Alexandria database).

Computed properties:
Energy above the lowest structure with this stoichiometry   73.1 meV per atom
Spin magnetization   0.00 μB/cell
V   150 Å³/f.u.
Space-group type   No. 127
Density of states at the Fermi level   0.88 states/eV/atom
ΔE_f   -0.123 eV/atom
VASP energy   -1.77 eV per atom

Unit cell a=8.6440 b=8.6440 c=4.0235 alpha=90.00 beta=90.00 gamma=90.00
Atoms (fractional coordinates):
Cd  0.1206  0.3794  0.0000
Tl  0.1801  0.6801  0.5000
Cd  0.3794  0.8794  0.0000
Sr  0.5000  0.5000  0.0000
Sr  0.0000  0.0000  0.0000
Tl  0.3199  0.1801  0.5000
Cd  0.6206  0.1206  0.0000
Cd  0.8794  0.6206  0.0000
Tl  0.6801  0.8199  0.5000
Tl  0.8199  0.3199  0.5000

---

Record 16
# Sr8Tl2Cd

A geometry-optimized Sr8Tl2Cd structure (PBE, the Alexandria database).

Computed properties:
Energy above the lowest structure with this stoichiometry   66.8 meV per atom
Spin magnetization   0.25 μB/cell
V   456 Å³/f.u.
Space-group type   No. 71
Density of states at the Fermi level   0.66 states/eV/atom
ΔE_f   -0.169 eV/atom
VASP energy   -1.91 eV per atom

Unit cell a=5.7365 b=9.7977 c=9.8954 alpha=119.67 beta=106.85 gamma=90.00
Atoms (fractional coordinates):
Sr  0.6604  0.4476  0.3209
Sr  0.3396  0.5524  0.6791
Sr  0.0000  0.6763  0.0000
Cd  0.5000  0.0000  0.0000
Tl  0.8042  0.3042  0.6085
Sr  0.1339  0.1339  0.2679
Sr  0.0000  0.3237  0.0000
Sr  0.3396  0.1267  0.6791
Sr  0.8661  0.8661  0.7321
Sr  0.6604  0.8733  0.3209
Tl  0.1958  0.6958  0.3915

---

Record 17
# SrTl3Cd3

A geometry-optimized SrTl3Cd3 structure (PBE, the Alexandria database).

Computed properties:
Energy above the lowest structure with this stoichiometry   0.0 meV per atom
Spin magnetization   0.00 μB/cell
V   206 Å³/f.u.
Space-group type   No. 148
Density of states at the Fermi level   0.64 states/eV/atom
ΔE_f   -0.095 eV/atom
VASP energy   -1.74 eV per atom

Unit cell a=7.1836 b=7.1836 c=10.1122 alpha=69.19 beta=69.19 gamma=60.00
Atoms (fractional coordinates):
Cd  0.5965  0.7572  0.5746
Sr  0.6978  0.6978  0.9065
Cd  0.0717  0.5965  0.5746
Cd  0.4035  0.2428  0.4254
Tl  0.7398  0.8165  0.1976
Tl  0.8165  0.2461  0.1976
Cd  0.2428  0.9283  0.4254
Tl  0.1835  0.7539  0.8024
Sr  0.3022  0.3022  0.0935
Tl  0.2602  0.1835  0.8024
Cd  0.9283  0.4035  0.4254
Tl  0.7539  0.2602  0.8024
Cd  0.7572  0.0717  0.5746
Tl  0.2461  0.7398  0.1976

---

Record 18
# SrTl5Cd

A geometry-optimized SrTl5Cd structure (PBE, the Alexandria database).

Computed properties:
Spin magnetization   0.00 μB/cell
V   218 Å³/f.u.
Space-group type   No. 123
Density of states at the Fermi level   0.60 states/eV/atom
ΔE_f   -0.116 eV/atom
VASP energy   -2.18 eV per atom

Unit cell a=5.2764 b=5.2764 c=7.8463 alpha=90.00 beta=90.00 gamma=90.00
Atoms (fractional coordinates):
Tl  0.5000  0.5000  0.0000
Tl  0.5000  0.0000  0.2859
Tl  0.0000  0.5000  0.7141
Sr  0.0000  0.0000  0.0000
Tl  0.5000  0.0000  0.7141
Tl  0.0000  0.5000  0.2859
Cd  0.0000  0.0000  0.5000

---

Record 19
# SrTl4Cd4

A geometry-optimized SrTl4Cd4 structure (PBE, the Alexandria database).

Computed properties:
Spin magnetization   0.00 μB/cell
V   263 Å³/f.u.
Space-group type   No. 137
Density of states at the Fermi level   0.46 states/eV/atom
ΔE_f   -0.075 eV/atom
VASP energy   -1.72 eV per atom

Unit cell a=6.7429 b=6.7429 c=11.5824 alpha=90.00 beta=90.00 gamma=90.00
Atoms (fractional coordinates):
Tl  0.7412  0.0000  0.7242
Cd  0.5000  0.2118  0.9500
Tl  0.0000  0.2588  0.2758
Cd  0.2118  0.5000  0.0500
Sr  0.5000  0.5000  0.5000
Tl  0.5000  0.2412  0.2242
Tl  0.2412  0.5000  0.7758
Sr  0.0000  0.0000  0.0000
Tl  0.5000  0.7588  0.2242
Cd  0.7118  0.0000  0.4500
Cd  0.0000  0.2882  0.5500
Tl  0.7588  0.5000  0.7758
Cd  0.0000  0.7118  0.5500
Cd  0.2882  0.0000  0.4500
Cd  0.5000  0.7882  0.9500
Tl  0.2588  0.0000  0.7242
Tl  0.0000  0.7412  0.2758
Cd  0.7882  0.5000  0.0500

---

Record 20
# SrTl4Cd

A geometry-optimized SrTl4Cd structure (PBE, the Alexandria database).

Computed properties:
Energy above the lowest structure with this stoichiometry   19.7 meV per atom
Spin magnetization   0.00 μB/cell
V   186 Å³/f.u.
Space-group type   No. 13
Density of states at the Fermi level   0.53 states/eV/atom
ΔE_f   -0.132 eV/atom
VASP energy   -2.14 eV per atom

Unit cell a=6.9250 b=5.7527 c=10.8263 alpha=90.00 beta=90.00 gamma=120.26
Atoms (fractional coordinates):
Tl  0.2833  0.4213  0.0913
Tl  0.1676  0.5685  0.3820
Tl  0.7167  0.5787  0.9087
Tl  0.7167  0.0787  0.0913
Tl  0.8324  0.4315  0.6180
Tl  0.1676  0.0685  0.6180
Cd  0.0000  0.2500  0.8452
Tl  0.8324  0.9315  0.3820
Sr  0.5000  0.7500  0.6589
Tl  0.2833  0.9213  0.9087
Sr  0.5000  0.2500  0.3411
Cd  0.0000  0.7500  0.1548